Density functional theory data (PBE with a Hubbard U) for a relaxed K2HgMoO4 crystal.

Properties
* symmetry: I-4, No. 82
* final energy: -5.245 eV per atom

a b c (Å): 6.396 6.398 6.397
angles (deg): 113.10 107.71 107.71
Positions (direct):
K (0.500, 0.750, 0.250)
K (0.000, 0.000, 0.000)
Hg (0.500, 0.250, 0.750)
Mo (0.000, 0.500, 0.500)
O (0.744, 0.568, 0.484)
O (0.915, 0.176, 0.432)
O (0.085, 0.516, 0.260)
O (0.256, 0.740, 0.825)